# 1
VASP calculation (PBE) on an optimized crystal structure of NbPtIO2.

Calculated values
- spin magnetization (μB/atom) = 0.000
- raw formation energy (eV/atom) = -0.970
- final energy (eV per cell) = -32.425
- ρ (g cm⁻³) = 7.83
- E above lowest polymorph (meV per atom) = 0
- density of states at the Fermi level (states/eV/cell) = 1.902
- volume (Å³/f.u.) = 94.80

Cell lengths 3.9050, 3.9050, 6.2170 Å; angles 90.00, 90.00, 90.00 degrees
Closest atoms and distances in Å follow each position.
Space group P4/mmm (No. 123)
Unique sites:
1 Nb 0.0000 0.0000 0.0000 (multiplicity 1)  4 O 1.95
2 Pt 0.5000 0.5000 0.5000 (multiplicity 1)  4 I 2.76
3 I 0.0000 0.0000 0.5000 (multiplicity 1)  4 Pt 2.76
4 O 0.0000 0.5000 0.0000 (multiplicity 2)  2 Nb 1.95

***

# 2
VASP calculation (PBE) on an optimized crystal structure of NbPtI2O.

Calculated values
- spin magnetization (μB/atom) = 0.801
- raw formation energy (eV/atom) = 0.488
- final energy (eV per cell) = -21.729
- ρ (g cm⁻³) = 7.63
- E above lowest polymorph (meV per atom) = 614
- density of states at the Fermi level (states/eV/cell) = 4.456
- volume (Å³/f.u.) = 121.46

Cell lengths 5.6423, 5.6423, 3.8153 Å; angles 90.00, 90.00, 90.00 degrees
Closest atoms and distances in Å follow each position.
Space group P4/mmm (No. 123)
Unique sites:
1 Nb 0.0000 0.0000 0.0000 (multiplicity 1)  8 I 3.41
2 Pt 0.5000 0.5000 0.5000 (multiplicity 1)  2 O 1.91
3 I 0.0000 0.5000 0.5000 (multiplicity 2)  2 Pt 2.82
4 O 0.5000 0.5000 0.0000 (multiplicity 1)  2 Pt 1.91

***

# 3
VASP calculation (PBE) on an optimized crystal structure of NbPtIO2.

Calculated values
- spin magnetization (μB/atom) = 0.416
- raw formation energy (eV/atom) = 0.563
- final energy (eV per cell) = -24.762
- ρ (g cm⁻³) = 8.16
- E above lowest polymorph (meV per atom) = 1533
- density of states at the Fermi level (states/eV/cell) = 5.384
- volume (Å³/f.u.) = 90.99

Cell lengths 4.0717, 4.0717, 5.4884 Å; angles 90.00, 90.00, 90.00 degrees
Closest atoms and distances in Å follow each position.
Space group P4/mmm (No. 123)
Unique sites:
1 Nb 0.0000 0.0000 0.0000 (multiplicity 1)  4 I 2.88
2 Pt 0.5000 0.5000 0.5000 (multiplicity 1)  4 O 2.04
3 I 0.5000 0.5000 0.0000 (multiplicity 1)  2 Pt 2.74, 4 Nb 2.88
4 O 0.0000 0.5000 0.5000 (multiplicity 2)  2 Pt 2.04

***

# 4
VASP calculation (PBE) on an optimized crystal structure of NbPtI2O.

Calculated values
- spin magnetization (μB/atom) = 0.000
- raw formation energy (eV/atom) = -0.126
- final energy (eV per cell) = -24.799
- ρ (g cm⁻³) = 7.76
- E above lowest polymorph (meV per atom) = 0
- density of states at the Fermi level (states/eV/cell) = 4.790
- volume (Å³/f.u.) = 119.32

Cell lengths 5.5606, 5.5606, 3.8590 Å; angles 90.00, 90.00, 90.00 degrees
Closest atoms and distances in Å follow each position.
Space group P4/mmm (No. 123)
Unique sites:
1 Nb 0.0000 0.0000 0.0000 (multiplicity 1)  2 O 1.93
2 Pt 0.5000 0.5000 0.5000 (multiplicity 1)  8 I 3.38
3 I 0.0000 0.5000 0.0000 (multiplicity 2)  2 Nb 2.78
4 O 0.0000 0.0000 0.5000 (multiplicity 1)  2 Nb 1.93

***

# 5
VASP calculation (PBE) on an optimized crystal structure of Rb2NbIO6.

Calculated values
- spin magnetization (μB/atom) = 0.000
- raw formation energy (eV/atom) = -1.479
- final energy (eV per cell) = -232.393
- ρ (g cm⁻³) = 5.56
- density of states at the Fermi level (states/eV/cell) = 0.000
- volume (Å³/f.u.) = 145.49

Cell lengths 8.3490, 8.3490, 8.3490 Å; angles 90.00, 90.00, 90.00 degrees
Closest atoms and distances in Å follow each position.
Space group Fm-3m (No. 225)
Unique sites:
1 Rb 0.2500 0.2500 0.2500 (multiplicity 8)  12 O 2.95
2 Nb 0.0000 0.0000 0.0000 (multiplicity 4)  6 O 2.04
3 I 0.0000 0.0000 0.5000 (multiplicity 4)  6 O 2.14
4 O 0.0000 0.0000 0.2441 (multiplicity 24)  1 Nb 2.04, 1 I 2.14

***

# 6
VASP calculation (PBE) on an optimized crystal structure of RbNbI2O.

Calculated values
- spin magnetization (μB/atom) = 0.395
- raw formation energy (eV/atom) = -1.133
- final energy (eV per cell) = -24.761
- ρ (g cm⁻³) = 4.98
- E above lowest polymorph (meV per atom) = 0
- density of states at the Fermi level (states/eV/cell) = 1.542
- volume (Å³/f.u.) = 149.39

Cell lengths 6.1022, 6.1022, 4.0119 Å; angles 90.00, 90.00, 90.00 degrees
Closest atoms and distances in Å follow each position.
Space group P4/mmm (No. 123)
Unique sites:
1 Rb 0.0000 0.0000 0.0000 (multiplicity 1)  8 I 3.65, 2 Rb 4.01
2 Nb 0.5000 0.5000 0.5000 (multiplicity 1)  2 O 2.01
3 I 0.0000 0.5000 0.5000 (multiplicity 2)  2 Nb 3.05
4 O 0.5000 0.5000 0.0000 (multiplicity 1)  2 Nb 2.01

***

Copy entry 5 word for word.
VASP calculation (PBE) on an optimized crystal structure of Rb2NbIO6.

Calculated values
- spin magnetization (μB/atom) = 0.000
- raw formation energy (eV/atom) = -1.479
- final energy (eV per cell) = -232.393
- ρ (g cm⁻³) = 5.56
- density of states at the Fermi level (states/eV/cell) = 0.000
- volume (Å³/f.u.) = 145.49

Cell lengths 8.3490, 8.3490, 8.3490 Å; angles 90.00, 90.00, 90.00 degrees
Closest atoms and distances in Å follow each position.
Space group Fm-3m (No. 225)
Unique sites:
1 Rb 0.2500 0.2500 0.2500 (multiplicity 8)  12 O 2.95
2 Nb 0.0000 0.0000 0.0000 (multiplicity 4)  6 O 2.04
3 I 0.0000 0.0000 0.5000 (multiplicity 4)  6 O 2.14
4 O 0.0000 0.0000 0.2441 (multiplicity 24)  1 Nb 2.04, 1 I 2.14

***

Number 1 is which compound?
NbPtIO2

***

What is the density of states at the Fermi level in the fourth record?
4.790 states/eV/cell